Run w
NdSm4Tl: optimized geometry, PBE-GGA.

Unit cell a=3.6729 b=3.6729 c=14.5245 alpha=90.00 beta=90.00 gamma=90.00
Closest atoms and distances in Å follow each position.
Sites, in units of the cell vectors:
1 Nd 0.0000 0.0000 0.0000  8 Sm 3.67, 4 Nd 3.67
2 Sm 0.5000 0.5000 0.1783  8 Sm 3.64-3.67, 4 Nd 3.67
3 Sm 0.0000 0.0000 0.6466  4 Tl 3.36, 8 Sm 3.64-3.67
4 Sm 0.0000 0.0000 0.3534  4 Tl 3.36, 8 Sm 3.64-3.67
5 Sm 0.5000 0.5000 0.8217  8 Sm 3.64-3.67, 4 Nd 3.67
6 Tl 0.5000 0.5000 0.5000  8 Sm 3.36, 4 Tl 3.67

Summary:
Space group   P4/mmm, No. 123
Mass density   8.05 g cm⁻³

***

Run x
NdSm4Tl: optimized geometry, PBE-GGA.

Unit cell a=6.5957 b=9.1624 c=8.4348 alpha=112.77 beta=100.03 gamma=113.52
Closest atoms and distances in Å follow each position.
Sites, in units of the cell vectors:
1 Nd 0.3386 0.5886 0.1772  8 Sm 3.54-3.69
2 Nd 0.6614 0.4114 0.8228  8 Sm 3.54-3.69
3 Sm 0.0395 0.1613 0.7549  3 Sm 3.33-3.66, 2 Tl 3.38-3.40, 2 Nd 3.54-3.61
4 Sm 0.7584 0.7146 0.6211  2 Tl 3.28, 4 Sm 3.33-3.66
5 Sm 0.2154 0.5936 0.7549  3 Sm 3.33-3.66, 2 Tl 3.38-3.40, 2 Nd 3.54-3.61
6 Sm 0.3627 0.9065 0.6211  2 Tl 3.28, 4 Sm 3.33-3.66
7 Sm 0.6373 0.0935 0.3789  2 Tl 3.28, 4 Sm 3.33-3.66
8 Sm 0.7846 0.4064 0.2451  3 Sm 3.33-3.66, 2 Tl 3.38-3.40, 2 Nd 3.54-3.61
9 Sm 0.2416 0.2854 0.3789  2 Tl 3.28, 4 Sm 3.33-3.66
10 Sm 0.9605 0.8387 0.2451  3 Sm 3.33-3.66, 2 Tl 3.38-3.40, 2 Nd 3.54-3.61
11 Tl 0.2504 0.0004 0.0007  8 Sm 3.28-3.40, 2 Tl 3.30
12 Tl 0.7496 0.9996 0.9993  8 Sm 3.28-3.40, 2 Tl 3.30

Summary:
Space group   C2/c, No. 15
Mass density   7.95 g cm⁻³

***

Most stable structure: run w

***

Run w
NdSm2Tl: optimized geometry, PBE-GGA.

Unit cell a=5.5833 b=5.5833 c=5.5833 alpha=60.00 beta=60.00 gamma=60.00
Closest atoms and distances in Å follow each position.
Sites, in units of the cell vectors:
1 Tl 0.5000 0.5000 0.5000  8 Sm 3.42
2 Nd 0.0000 0.0000 0.0000  8 Sm 3.42
3 Sm 0.2500 0.2500 0.2500  4 Nd 3.42, 4 Tl 3.42
4 Sm 0.7500 0.7500 0.7500  4 Tl 3.42, 4 Nd 3.42

Summary:
Space group   Fm-3m, No. 225
Mass density   8.76 g cm⁻³

***

Run x
NdSm2Tl: optimized geometry, PBE-GGA.

Unit cell a=3.7361 b=3.7361 c=11.1459 alpha=80.35 beta=80.35 gamma=60.00
Closest atoms and distances in Å follow each position.
Sites, in units of the cell vectors:
1 Nd 0.4999 0.4999 0.5004  6 Sm 3.65-3.66, 6 Nd 3.74
2 Sm 0.0767 0.0767 0.7699  3 Tl 3.32, 3 Nd 3.65
3 Sm 0.2568 0.2568 0.2295  3 Tl 3.31, 3 Nd 3.66
4 Tl 0.6666 0.6666 0.0002  6 Sm 3.31-3.32

Summary:
Space group   R3m, No. 160
Mass density   8.16 g cm⁻³

***

Most stable structure: run x

***

Run w
NdSm2Tl: optimized geometry, PBE-GGA.

Unit cell a=4.9360 b=4.9735 c=4.9735 alpha=90.00 beta=90.00 gamma=90.00
Closest atoms and distances in Å follow each position.
Sites, in units of the cell vectors:
1 Tl 0.5000 0.0000 0.0000  8 Sm 3.50, 4 Nd 3.52
2 Nd 0.5000 0.5000 0.5000  8 Sm 3.50, 4 Tl 3.52
3 Sm 0.0000 0.0000 0.5000  4 Tl 3.50, 4 Nd 3.50, 4 Sm 3.52
4 Sm 0.0000 0.5000 0.0000  4 Tl 3.50, 4 Nd 3.50, 4 Sm 3.52

Summary:
Space group   P4/mmm, No. 123
Mass density   8.83 g cm⁻³

***

Run x
NdSm2Tl: optimized geometry, PBE-GGA.

Unit cell a=3.6894 b=3.6894 c=9.3617 alpha=90.00 beta=90.00 gamma=90.00
Closest atoms and distances in Å follow each position.
Sites, in units of the cell vectors:
1 Tl 0.5000 0.5000 0.0000  8 Sm 3.35, 4 Tl 3.69
2 Nd 0.5000 0.5000 0.5000  8 Sm 3.66, 4 Nd 3.69
3 Sm 0.0000 0.0000 0.7749  4 Tl 3.35, 4 Nd 3.66, 4 Sm 3.69
4 Sm 0.0000 0.0000 0.2251  4 Tl 3.35, 4 Nd 3.66, 4 Sm 3.69

Summary:
Space group   P4/mmm, No. 123
Mass density   8.46 g cm⁻³

***

Most stable structure: run w

***

Run w
Nd2Sm2Tl3: optimized geometry, PBE-GGA.

Unit cell a=3.6122 b=3.5969 c=16.5555 alpha=90.00 beta=83.74 gamma=90.00
Closest atoms and distances in Å follow each position.
Sites, in units of the cell vectors:
1 Nd 0.5684 0.5000 0.8631  8 Tl 3.40-3.41, 4 Nd 3.60-3.61
2 Nd 0.4316 0.5000 0.1369  8 Tl 3.40-3.41, 4 Nd 3.60-3.61
3 Sm 0.7014 0.5000 0.5972  4 Tl 3.31, 6 Sm 3.60-3.67
4 Sm 0.2986 0.5000 0.4028  4 Tl 3.31, 6 Sm 3.60-3.67
5 Tl 0.8627 0.0000 0.2746  4 Sm 3.31, 4 Nd 3.41, 4 Tl 3.60-3.61
6 Tl 0.0000 0.0000 0.0000  8 Nd 3.40, 4 Tl 3.60-3.61
7 Tl 0.1373 0.0000 0.7254  4 Sm 3.31, 4 Nd 3.41, 4 Tl 3.60-3.61

Summary:
Space group   Cmmm, No. 65
Mass density   9.34 g cm⁻³

***

Run x
Nd2Sm2Tl3: optimized geometry, PBE-GGA.

Unit cell a=4.4961 b=7.8624 c=6.3851 alpha=96.45 beta=69.31 gamma=89.95
Closest atoms and distances in Å follow each position.
Sites, in units of the cell vectors:
1 Nd 0.5705 0.2922 0.8586  7 Tl 3.30-3.65, 1 Nd 3.49, 4 Sm 3.54-3.65
2 Nd 0.4295 0.7078 0.1414  7 Tl 3.30-3.65, 1 Nd 3.49, 4 Sm 3.54-3.65
3 Sm 0.7000 0.8472 0.6002  5 Tl 3.28-3.48, 4 Nd 3.54-3.65, 2 Sm 3.60
4 Sm 0.3000 0.1528 0.3998  5 Tl 3.28-3.48, 4 Nd 3.54-3.65, 2 Sm 3.60
5 Tl 0.0000 0.0000 0.0000  4 Sm 3.39-3.40, 4 Nd 3.39, 2 Tl 3.70
6 Tl 0.8494 0.4392 0.3014  3 Sm 3.28-3.48, 5 Nd 3.30-3.65, 2 Tl 3.32-3.33
7 Tl 0.1506 0.5608 0.6986  3 Sm 3.28-3.48, 5 Nd 3.30-3.65, 2 Tl 3.32-3.33

Summary:
Space group   P-1, No. 2
Mass density   9.52 g cm⁻³

***

Most stable structure: run x